Computed, not measured: an optimized crystal structure of Ti2GeC at the GGA-PBE level of DFT.

Cell lengths 3.102, 3.097, 6.800 Å; angles 103.54, 90.00, 120.06 degrees
Sites, in units of the cell vectors:
C1 0.000 0.500 0.500
Ti1 0.727 0.955 0.676
Ge1 0.500 0.500 0.000
Ti2 0.273 0.045 0.324

Computed, not measured: an optimized crystal structure of Sc4TcPd at the GGA-PBE level of DFT.

Cell lengths 4.667, 4.669, 7.559 Å; angles 72.00, 72.02, 60.01 degrees
Sites, in units of the cell vectors:
Tc1 0.000 0.000 0.000
Sc1 0.630 0.630 0.109
Pd1 0.500 0.500 0.500
Sc2 0.370 0.370 0.891
Sc3 0.122 0.122 0.633
Sc4 0.878 0.878 0.367

Computed, not measured: an optimized crystal structure of LiSc2Hg4 at the GGA-PBE level of DFT.

Cell lengths 4.836, 4.836, 9.114 Å; angles 58.05, 58.05, 60.07 degrees
Sites, in units of the cell vectors:
Hg1 0.719 0.719 0.421
Hg2 0.416 0.416 0.876
Hg3 0.281 0.281 0.579
Sc1 0.147 0.147 0.279
Sc2 0.853 0.853 0.721
Hg4 0.584 0.584 0.124
Li1 0.000 0.000 0.000

no.,density (g cm⁻³),formation energy from the elements (eV/atom),electronic total energy (Ry per atom)
1,5.5,-0.74,-0.59867
2,4.8,-0.25,-0.51952
3,10.2,-0.32,-0.18928